# LaZn2CoB

A geometry-optimized LaZn2CoB structure (GGA-PBE, Alexandria).

Computed properties:
The calculated total energy is -20.69 eV/cell. As for the crystal system: tetragonal. For the formation energy, the calculation gives 0.113 eV per atom.

Structure (CIF):
```
data_LaZn2CoB
_symmetry_space_group_name_H-M 'P 4/m m m'
_symmetry_Int_Tables_number 123
_symmetry_space_group_name_Hall '-P 4 2'
_cell_length_a 4.2004
_cell_length_b 4.2004
_cell_length_c 4.4943
_cell_angle_alpha 90.00
_cell_angle_beta 90.00
_cell_angle_gamma 90.00
loop_
_atom_site_label
_atom_site_type_symbol
_atom_site_fract_x
_atom_site_fract_y
_atom_site_fract_z
_atom_site_occupancy
La1 La 0.0000 0.0000 0.0000 1
Zn1 Zn 0.0000 0.5000 0.5000 1
Co1 Co 0.5000 0.5000 0.0000 1
B1 B 0.5000 0.5000 0.5000 1
```